# TcTe

A relaxed structure of TcTe (GGA-PBE, Alexandria).

Lattice parameters (Å, degrees): 3.2007 4.7521 6.8936 82.90 89.96 70.55
With the nearest neighbours (Å) after each atom.
Positions (direct):
Tc1 0.1315 0.2329 0.4351  3 Tc 2.66-2.70, 5 Te 2.74-2.84
Tc2 0.8685 0.7671 0.5649  3 Tc 2.66-2.70, 5 Te 2.74-2.84
Te1 0.4021 0.7018 0.2507  5 Tc 2.74-2.84
Te2 0.5979 0.2982 0.7493  5 Tc 2.74-2.84

Output
ΔE to the lowest computed polymorph, eV/atom: 0.180

---

# TcTe

A relaxed structure of TcTe (GGA-PBE, Alexandria).

Lattice parameters (Å, degrees): 6.7452 6.7452 6.7452 35.85 35.85 35.85
With the nearest neighbours (Å) after each atom.
Positions (direct):
Tc1 0.1532 0.1532 0.1532  3 Tc 2.45
Tc2 0.8468 0.8468 0.8468  3 Tc 2.45
Te1 0.4060 0.4060 0.4060  6 Tc 2.84-3.14
Te2 0.5940 0.5940 0.5940  6 Tc 2.84-3.14

Output
ΔE to the lowest computed polymorph, eV/atom: 0.086

---

# TcTe

A relaxed structure of TcTe (GGA-PBE, Alexandria).

Lattice parameters (Å, degrees): 4.5030 4.5030 4.9547 103.34 103.34 70.14
With the nearest neighbours (Å) after each atom.
Positions (direct):
Tc1 0.1554 0.1554 0.0946  1 Tc 2.22
Tc2 0.8446 0.8446 0.9054  1 Tc 2.22
Te1 0.3233 0.3233 0.6867  4 Tc 2.65-2.84
Te2 0.6767 0.6767 0.3133  4 Tc 2.65-2.84

Output
ΔE to the lowest computed polymorph, eV/atom: 0.135

---

# Tc2Te

A relaxed structure of Tc2Te (GGA-PBE, Alexandria).

Lattice parameters (Å, degrees): 6.5773 6.5773 4.1610 90.00 90.00 120.00
With the nearest neighbours (Å) after each atom.
Positions (direct):
Tc1 0.0000 0.2530 0.0000  4 Te 2.50-2.66
Tc2 0.0000 0.5970 0.5000  5 Te 2.65-2.89
Tc3 0.2530 0.0000 0.0000  4 Te 2.50-2.66
Tc4 0.4030 0.4030 0.5000  5 Te 2.65-2.89
Tc5 0.5970 0.0000 0.5000  5 Te 2.65-2.89
Tc6 0.7470 0.7470 0.0000  4 Te 2.50-2.66
Te1 0.0000 0.0000 0.5000  9 Tc 2.65-2.66
Te2 0.3333 0.6667 0.0000  3 Tc 2.50
Te3 0.6667 0.3333 0.0000  3 Tc 2.50

Output
ΔE to the lowest computed polymorph, eV/atom: 0.462

---

# TcTe

A relaxed structure of TcTe (GGA-PBE, Alexandria).

Lattice parameters (Å, degrees): 3.2377 4.1270 7.7593 88.78 89.43 67.69
With the nearest neighbours (Å) after each atom.
Positions (direct):
Tc1 0.0000 0.0000 0.0000  3 Tc 2.43-2.56
Tc2 0.3015 0.4231 0.1375  3 Tc 2.43-2.56
Te1 0.7037 0.5987 0.7832  3 Tc 2.80-2.82
Te2 0.9958 0.0228 0.3561  4 Tc 2.77-2.88

Output
ΔE to the lowest computed polymorph, eV/atom: 0.100

---

# TcTe8

A relaxed structure of TcTe8 (GGA-PBE, Alexandria).

Lattice parameters (Å, degrees): 8.0195 8.0195 8.0195 95.36 95.36 144.42
With the nearest neighbours (Å) after each atom.
Positions (direct):
Tc1 0.0000 0.0000 0.0000  4 Te 2.79
Te1 0.0000 0.2582 0.2582  1 Tc 2.79
Te2 0.0000 0.7418 0.7418  1 Tc 2.79
Te3 0.2582 0.0000 0.2582  1 Tc 2.79
Te4 0.3544 0.3544 0.7089  6 Te 3.14-3.15, 2 Tc 3.31
Te5 0.3544 0.6456 0.0000  6 Te 3.14-3.15, 2 Tc 3.31
Te6 0.6456 0.3544 0.0000  6 Te 3.14-3.15, 2 Tc 3.31
Te7 0.6456 0.6456 0.2911  6 Te 3.14-3.15, 2 Tc 3.31
Te8 0.7418 0.0000 0.7418  1 Tc 2.79

---

# Tc4Te

A relaxed structure of Tc4Te (GGA-PBE, Alexandria).

Lattice parameters (Å, degrees): 5.0476 5.0476 5.0476 109.47 109.47 109.47
With the nearest neighbours (Å) after each atom.
Positions (direct):
Tc1 0.0000 0.0000 0.5000  2 Te 2.52
Tc2 0.0000 0.5000 0.0000  2 Te 2.52
Tc3 0.5000 0.0000 0.0000  2 Te 2.52
Tc4 0.5000 0.5000 0.5000  2 Te 2.52
Te1 0.0000 0.0000 0.0000  8 Tc 2.52

Output
ΔE to the lowest computed polymorph, eV/atom: 0.000

---

# TcTe

A relaxed structure of TcTe (GGA-PBE, Alexandria).

Lattice parameters (Å, degrees): 7.3229 7.3229 6.4402 109.84 109.84 24.84
With the nearest neighbours (Å) after each atom.
Positions (direct):
Tc1 0.0000 0.0000 0.0000  3 Tc 2.57-2.77, 4 Te 2.72-2.74
Tc2 0.0555 0.0555 0.6293  3 Tc 2.70-2.77, 4 Te 2.72-2.80
Tc3 0.4105 0.4105 0.6762  4 Tc 2.57-2.70, 3 Te 2.74-2.77
Te1 0.4381 0.4381 0.2755  5 Tc 2.74-2.80
Te2 0.6522 0.6522 0.9835  4 Tc 2.72
Te3 0.7406 0.7406 0.5538  2 Tc 2.77

Output
ΔE to the lowest computed polymorph, eV/atom: 0.147

---

# Tc3Te

A relaxed structure of Tc3Te (GGA-PBE, Alexandria).

Lattice parameters (Å, degrees): 5.0623 5.0623 5.0623 90.00 90.00 90.00
With the nearest neighbours (Å) after each atom.
Positions (direct):
Tc1 0.0000 0.2500 0.5000  2 Tc 2.53, 4 Te 2.83
Tc2 0.0000 0.7500 0.5000  2 Tc 2.53, 4 Te 2.83
Tc3 0.2500 0.5000 0.0000  2 Tc 2.53, 4 Te 2.83
Tc4 0.5000 0.0000 0.2500  2 Tc 2.53, 4 Te 2.83
Tc5 0.5000 0.0000 0.7500  2 Tc 2.53, 4 Te 2.83
Tc6 0.7500 0.5000 0.0000  2 Tc 2.53, 4 Te 2.83
Te1 0.0000 0.0000 0.0000  12 Tc 2.83
Te2 0.5000 0.5000 0.5000  12 Tc 2.83

Output
ΔE to the lowest computed polymorph, eV/atom: 0.299

---

# Tc2Te

A relaxed structure of Tc2Te (GGA-PBE, Alexandria).

Lattice parameters (Å, degrees): 4.5860 4.5860 5.5750 90.00 90.00 120.00
With the nearest neighbours (Å) after each atom.
Positions (direct):
Tc1 0.0000 0.0000 0.0000  8 Tc 2.79-2.99, 6 Te 2.99
Tc2 0.0000 0.0000 0.5000  8 Tc 2.79-2.99, 6 Te 2.99
Tc3 0.3333 0.6667 0.2500  5 Te 2.65-2.79
Tc4 0.6667 0.3333 0.7500  5 Te 2.65-2.79
Te1 0.3333 0.6667 0.7500  5 Tc 2.65-2.79
Te2 0.6667 0.3333 0.2500  5 Tc 2.65-2.79

Output
ΔE to the lowest computed polymorph, eV/atom: 0.558

---

# Tc2Te

A relaxed structure of Tc2Te (GGA-PBE, Alexandria).

Lattice parameters (Å, degrees): 6.2677 6.2677 6.2677 90.00 90.00 90.00
With the nearest neighbours (Å) after each atom.
Positions (direct):
Tc1 0.1040 0.1040 0.1040  1 Tc 2.26
Tc2 0.1040 0.3960 0.6040  1 Tc 2.26
Tc3 0.3960 0.6040 0.1040  1 Tc 2.26
Tc4 0.3960 0.8960 0.6040  1 Tc 2.26
Tc5 0.6040 0.1040 0.3960  1 Tc 2.26
Tc6 0.6040 0.3960 0.8960  1 Tc 2.26
Tc7 0.8960 0.6040 0.3960  1 Tc 2.26
Tc8 0.8960 0.8960 0.8960  1 Tc 2.26
Te1 0.0000 0.0000 0.5000  6 Tc 2.65
Te2 0.0000 0.5000 0.0000  6 Tc 2.65
Te3 0.5000 0.0000 0.0000  6 Tc 2.65
Te4 0.5000 0.5000 0.5000  6 Tc 2.65

Output
ΔE to the lowest computed polymorph, eV/atom: 0.833

---

# TcTe

A relaxed structure of TcTe (GGA-PBE, Alexandria).

Lattice parameters (Å, degrees): 4.6774 3.2930 4.6779 90.00 90.00 90.00
With the nearest neighbours (Å) after each atom.
Positions (direct):
Tc1 0.2500 0.0000 0.2493  8 Te 2.86
Tc2 0.7500 0.0000 0.7507  8 Te 2.86
Te1 0.2500 0.5000 0.7500  8 Tc 2.86
Te2 0.7500 0.5000 0.2500  8 Tc 2.86

Output
ΔE to the lowest computed polymorph, eV/atom: 0.273

---

# TcTe

A relaxed structure of TcTe (GGA-PBE, Alexandria).

Lattice parameters (Å, degrees): 6.2285 4.0894 6.3978 90.00 90.00 90.00
With the nearest neighbours (Å) after each atom.
Positions (direct):
Tc1 0.1631 0.2500 0.0942  6 Te 2.66-2.94
Tc2 0.3369 0.7500 0.5942  6 Te 2.66-2.94
Tc3 0.6631 0.2500 0.4058  6 Te 2.66-2.94
Tc4 0.8369 0.7500 0.9058  6 Te 2.66-2.94
Te1 0.0178 0.2500 0.7035  6 Tc 2.66-2.94
Te2 0.4822 0.7500 0.2035  6 Tc 2.66-2.94
Te3 0.5178 0.2500 0.7965  6 Tc 2.66-2.94
Te4 0.9822 0.7500 0.2965  6 Tc 2.66-2.94

Output
ΔE to the lowest computed polymorph, eV/atom: 0.523

---

# TcTe

A relaxed structure of TcTe (GGA-PBE, Alexandria).

Lattice parameters (Å, degrees): 5.1732 5.1732 4.6535 101.55 101.55 37.32
With the nearest neighbours (Å) after each atom.
Positions (direct):
Tc1 0.1148 0.1148 0.3090  7 Te 2.74-2.92
Tc2 0.8852 0.8852 0.6910  7 Te 2.74-2.92
Te1 0.3793 0.3793 0.2050  7 Tc 2.74-2.92
Te2 0.6207 0.6207 0.7950  7 Tc 2.74-2.92

Output
ΔE to the lowest computed polymorph, eV/atom: 0.283

---

# TcTe4

A relaxed structure of TcTe4 (GGA-PBE, Alexandria).

Lattice parameters (Å, degrees): 6.7513 6.7513 6.7513 93.41 93.41 151.75
With the nearest neighbours (Å) after each atom.
Positions (direct):
Tc1 0.0000 0.0000 0.0000  8 Te 2.82
Te1 0.2737 0.4019 0.6756  2 Tc 2.82
Te2 0.4019 0.7263 0.1282  2 Tc 2.82
Te3 0.5981 0.2737 0.8718  2 Tc 2.82
Te4 0.7263 0.5981 0.3244  2 Tc 2.82

Output
ΔE to the lowest computed polymorph, eV/atom: 0.000

---

# TcTe

A relaxed structure of TcTe (GGA-PBE, Alexandria).

Lattice parameters (Å, degrees): 10.5544 10.5544 10.5544 17.22 17.22 17.22
With the nearest neighbours (Å) after each atom.
Positions (direct):
Tc1 0.1335 0.1335 0.1335  3 Te 2.72, 3 Tc 2.76
Tc2 0.8665 0.8665 0.8665  3 Te 2.72, 3 Tc 2.76
Te1 0.4022 0.4022 0.4022  3 Tc 2.72
Te2 0.5978 0.5978 0.5978  3 Tc 2.72

Output
ΔE to the lowest computed polymorph, eV/atom: 0.224

---

# Tc3Te

A relaxed structure of Tc3Te (GGA-PBE, Alexandria).

Lattice parameters (Å, degrees): 8.7856 8.7856 8.7856 19.45 19.45 19.45
With the nearest neighbours (Å) after each atom.
Positions (direct):
Tc1 0.0000 0.0000 0.0000  12 Tc 2.70-2.97
Tc2 0.2528 0.2528 0.2528  9 Tc 2.70-2.97, 3 Te 2.81
Tc3 0.7472 0.7472 0.7472  9 Tc 2.70-2.97, 3 Te 2.81
Te1 0.5000 0.5000 0.5000  6 Tc 2.81, 6 Te 2.97

Output
ΔE to the lowest computed polymorph, eV/atom: 0.120

---

# Tc2Te

A relaxed structure of Tc2Te (GGA-PBE, Alexandria).

Lattice parameters (Å, degrees): 10.4678 10.4678 10.4678 162.18 162.18 25.30
With the nearest neighbours (Å) after each atom.
Positions (direct):
Tc1 0.2978 0.5478 0.7500  2 Tc 2.54, 4 Te 2.78
Tc2 0.4522 0.7022 0.7500  2 Tc 2.54, 4 Te 2.78
Tc3 0.5478 0.2978 0.2500  2 Tc 2.54, 4 Te 2.78
Tc4 0.7022 0.4522 0.2500  2 Tc 2.54, 4 Te 2.78
Te1 0.1250 0.8750 0.2500  8 Tc 2.78
Te2 0.8750 0.1250 0.7500  8 Tc 2.78

Output
ΔE to the lowest computed polymorph, eV/atom: 0.651

---

# TcTe

A relaxed structure of TcTe (GGA-PBE, Alexandria).

Lattice parameters (Å, degrees): 3.7282 3.7305 7.8922 102.99 94.60 110.42
With the nearest neighbours (Å) after each atom.
Positions (direct):
Tc1 0.1823 0.2439 0.4253  2 Tc 2.46, 1 Te 2.65
Tc2 0.8177 0.7561 0.5747  2 Tc 2.46, 1 Te 2.65
Te1 0.2447 0.5366 0.7841  4 Tc 2.65-2.81
Te2 0.7553 0.4634 0.2159  4 Tc 2.65-2.81

Output
ΔE to the lowest computed polymorph, eV/atom: 0.000

---

# Tc2Te

A relaxed structure of Tc2Te (GGA-PBE, Alexandria).

Lattice parameters (Å, degrees): 5.7979 5.7979 5.7979 149.23 149.23 44.08
With the nearest neighbours (Å) after each atom.
Positions (direct):
Tc1 0.1770 0.1770 0.0000  4 Tc 2.68, 4 Te 2.89
Tc2 0.8230 0.8230 0.0000  4 Tc 2.68, 4 Te 2.89
Te1 0.5000 0.5000 0.0000  8 Tc 2.89, 4 Te 3.08

Output
ΔE to the lowest computed polymorph, eV/atom: 0.313

---

Computed uncorrected formation energy, in the same sequence as the records: 47 29 38 132 32 321 775 41 235 160 239 65 113 67 57 56 166 187 13 89 kJ/mol of formula units.